DFT (GGA-PBE) results for a geometry-optimized YZr2UN4 structure.

* formation energy from raw total energies: -1.619 eV/atom
* D(E_F): 5.5 states/eV/cell
* calculated total energy: -10.14 eV/atom

Unit cell a=4.7548 b=4.7548 c=5.7912 alpha=114.24 beta=114.24 gamma=90.00
Atoms (fractional coordinates):
U (0.7500, 0.2500, 0.5000)
N (0.2452, 0.2452, 0.4903)
N (0.9924, 0.4924, 0.9848)
N (0.7548, 0.7548, 0.5097)
N (0.5076, 0.0076, 0.0152)
Y (0.5000, 0.5000, 0.0000)
Zr (0.0000, 0.0000, 0.0000)
Zr (0.2500, 0.7500, 0.5000)